Density functional theory data (GGA-PBE) for TbGa4Ir2Os after structural relaxation.

Lattice parameters (Å, degrees): 4.2616 4.2616 25.5057 90.00 90.00 120.00
Space group R-3m (No. 166, hexagonal axes)
Unique sites:
Tb (0.0000, 0.0000, 0.0000) (multiplicity 3)
Ga (0.0000, 0.0000, 0.1317) (multiplicity 6)
Ga (0.0000, 0.0000, 0.3990) (multiplicity 6)
Ir (0.0000, 0.0000, 0.2407) (multiplicity 6)
Os (0.0000, 0.0000, 0.5000) (multiplicity 3)

Values from the calculation:
Energy of formation, eV per formula unit: -3.382

---

Density functional theory data (GGA-PBE) for ThGa4Ir2Os after structural relaxation.

Lattice parameters (Å, degrees): 4.2867 4.2867 26.0264 90.00 90.00 120.00
Space group R-3m (No. 166, hexagonal axes)
Unique sites:
Th (0.0000, 0.0000, 0.0000) (multiplicity 3)
Ga (0.0000, 0.0000, 0.1327) (multiplicity 6)
Ga (0.0000, 0.0000, 0.4016) (multiplicity 6)
Ir (0.0000, 0.0000, 0.2383) (multiplicity 6)
Os (0.0000, 0.0000, 0.5000) (multiplicity 3)

Values from the calculation:
Energy of formation, eV per formula unit: -3.219